Entry 1:
{"formula": "Pm2MnGe2", "functional": "PBE-GGA", "state": "relaxed", "lattice": [[-5.413, -1.754, 2.075], [-2.177, -0.479, -6.083], [5.637, -4.797, 1.811]], "species": ["Pm", "Pm", "Pm", "Pm", "Mn", "Mn", "Ge", "Ge", "Ge", "Ge"], "fractional_positions": [[0.858, 0.665, 0.717], [0.142, 0.335, 0.283], [0.642, 0.948, 0.283], [0.358, 0.052, 0.717], [0.750, 0.500, 0.000], [0.250, 0.500, 0.000], [0.388, 0.611, 0.776], [0.612, 0.389, 0.224], [0.112, 0.836, 0.224], [0.888, 0.164, 0.776]], "spacegroup": "Ibam, No. 72", "delta_e_f_kj_per_mol_atoms": -52.4}



Entry 2:
{"formula": "TiAl3Sn", "functional": "PBE-GGA", "state": "relaxed", "lattice": [[5.015, 0.000, 0.000], [0.000, 5.015, 0.000], [0.000, 0.000, 5.015]], "species": ["Al", "Al", "Al", "Sn", "Ti"], "fractional_positions": [[0.000, 0.500, 0.000], [0.000, 0.000, 0.500], [0.500, 0.000, 0.000], [0.500, 0.500, 0.500], [0.000, 0.000, 0.000]], "polymorph_energy_ev_per_atom": 0.000, "spacegroup": "Pm-3m, No. 221", "delta_e_f_kj_per_mol_atoms": 65.2}



- Which formula does entry 2 have?
  TiAl3Sn